DFT (PBEsol) results for a geometry-optimized Eu2As3Pt structure.

abc: 4.3464 4.3464 8.0168
angles: 90.00 90.00 120.00
Closest atoms and distances in Å follow each position.
Element x y z (fractional)
Eu 0.0000 0.0000 0.2434  3 Pt 3.18, 9 As 3.18-3.24
Eu 0.0000 0.0000 0.7566  9 As 3.18-3.24, 3 Pt 3.18
As 0.3333 0.6667 0.0000  3 Pt 2.51
As 0.3333 0.6667 0.5000  3 As 2.51
As 0.6667 0.3333 0.5000  3 As 2.51
Pt 0.6667 0.3333 0.0000  3 As 2.51

## Properties
- formation energy from the elements (eV/atom) = -0.9426
- space group = P-6m2, No. 187
- total magnetization (μB per atom) = 2.232